Record 1
A relaxed LiNi2Cl crystal. Source: Alexandria, functional PBE-GGA.

abc: 4.216 4.216 4.216
angles: 60.00 60.00 60.00
Positions (direct):
Li (0.000, 0.000, 0.000)
Ni (0.250, 0.250, 0.250)
Ni (0.500, 0.500, 0.500)
Cl (0.750, 0.750, 0.750)

energy above the most stable polymorph in this dataset = 0.484 eV/atom
formation energy without anion corrections = 1.1 eV per formula unit

---

Record 2
A relaxed PrNd2Er8 crystal. Source: Alexandria, functional PBE-GGA.

abc: 8.901 8.901 6.660
angles: 98.87 98.87 43.61
Positions (direct):
Pr (0.000, 0.000, 0.000)
Nd (0.244, 0.244, 0.305)
Nd (0.756, 0.756, 0.695)
Er (0.175, 0.649, 0.593)
Er (0.204, 0.204, 0.798)
Er (0.351, 0.825, 0.407)
Er (0.412, 0.412, 0.095)
Er (0.588, 0.588, 0.905)
Er (0.649, 0.175, 0.593)
Er (0.796, 0.796, 0.202)
Er (0.825, 0.351, 0.407)

energy above the most stable polymorph in this dataset = 0.014 eV/atom
calculated formation energy = 0.174 eV per atom

---

Record 3
A relaxed Zr2CrSn crystal. Source: Alexandria, functional PBE-GGA.

abc: 6.099 6.099 6.099
angles: 102.60 102.60 124.32
Positions (direct):
Zr (0.078, 0.625, 0.953)
Zr (0.375, 0.328, 0.453)
Zr (0.672, 0.125, 0.047)
Zr (0.875, 0.922, 0.547)
Cr (0.000, 0.000, 0.000)
Cr (0.750, 0.250, 0.500)
Sn (0.250, 0.750, 0.500)
Sn (0.500, 0.500, 0.000)

calculated formation energy = 0.353 eV per atom

---

These records have D(E_F) values of 7.64 17.23 5.33 states/eV/f.u., in the order they appear.
These records have E_tot values of -3.552 -4.446 -7.328 eV per atom, in the order they appear.